Here is an optimized crystal structure of MnOsF2 from Alexandria via LeMat-Bulk. Energies are from GGA+U.

Cell and atoms, written as POSCAR:
```
MnOsF2
1.0
0.722 0.077 4.137
-2.857 -1.553 2.659
0.776 -3.575 2.063
F Os Mn
2 1 1
Direct
0.250 0.250 0.250
0.750 0.750 0.750
0.500 0.500 0.500
0.000 0.000 0.000
```

crystal system = cubic
Fermi-level density of states = 1.9503 states/eV/atom
total moment = 5.0 μB/cell
electronic total energy = -21.5 eV/f.u.